No. 1
Entry from the Alexandria database: a relaxed structure of SmGeIrO (PBE-GGA).

abc: 4.1041 4.1041 8.3407
angles: 90.00 90.00 90.00
With the nearest neighbours (Å) after each atom.
Space group P4/nmm (No. 129, origin choice 2)
Unique sites:
Sm  0.2500  0.2500  0.1328 (multiplicity 2)  4 O 2.33
Ge  0.2500  0.2500  0.6649 (multiplicity 2)  4 Ir 2.47
Ir  0.2500  0.7500  0.5000 (multiplicity 2)  4 Ge 2.47
O  0.2500  0.7500  0.0000 (multiplicity 2)  4 Sm 2.33

Calculated values
raw formation energy = -1.7868 eV/atom
total moment = 0.0 μB per formula unit
V = 140.49 Å³/cell

---

No. 2
Entry from the Alexandria database: a relaxed structure of SrGeIr2O8 (PBE-GGA).

abc: 5.2931 5.2931 7.1537
angles: 90.00 90.00 120.00
With the nearest neighbours (Å) after each atom.
Space group P-3 (No. 147)
Unique sites:
Sr  0.0000  0.0000  0.0000 (multiplicity 1)  12 O 2.79-3.07
Ge  0.0000  0.0000  0.5000 (multiplicity 1)  6 O 1.92
Ir  0.3333  0.6667  0.7054 (multiplicity 2)  4 O 1.85-1.89
O  0.0121  0.2869  0.6694 (multiplicity 6)  1 Ir 1.89, 1 Ge 1.92
O  0.3333  0.6667  0.9637 (multiplicity 2)  1 Ir 1.85

Calculated values
raw formation energy = -0.9095 eV/atom
total moment = 0.0 μB per formula unit
V = 173.57 Å³/cell

---

No. 3
Entry from the Alexandria database: a relaxed structure of Sr2GeIrO6 (PBE-GGA).

abc: 7.8598 7.8598 7.8598
angles: 90.00 90.00 90.00
With the nearest neighbours (Å) after each atom.
Space group Fm-3m (No. 225)
Unique sites:
Sr  0.2500  0.2500  0.2500 (multiplicity 8)  12 O 2.78
Ge  0.0000  0.0000  0.0000 (multiplicity 4)  6 O 1.90
Ir  0.0000  0.0000  0.5000 (multiplicity 4)  6 O 2.03
O  0.0000  0.0000  0.2422 (multiplicity 24)  1 Ge 1.90, 1 Ir 2.03

Calculated values
raw formation energy = -1.8197 eV/atom
total moment = 0.0 μB per formula unit
V = 485.54 Å³/cell